# 1
A relaxed Rb2Tl6InSn crystal, computed with PBE.

```
data_Rb2Tl6InSn
_cell_length_a 8.0811
_cell_length_b 8.0811
_cell_length_c 41.6902
_cell_angle_alpha 90.00
_cell_angle_beta 90.00
_cell_angle_gamma 120.00
_symmetry_space_group_name_H-M 'R -3 m'
_symmetry_Int_Tables_number 166
_symmetry_space_group_name_Hall '-R 3 2"'
loop_
_atom_site_label
_atom_site_fract_x
_atom_site_fract_y
_atom_site_fract_z
Rb1 0.0000 0.0000 0.1044
Rb2 0.0000 0.0000 0.2800
Tl1 0.0562 0.5281 0.8660
Tl2 0.0615 0.5307 0.3044
In1 0.0000 0.0000 0.4242
Sn1 0.0000 0.0000 0.0000
Sn2 0.0000 0.0000 0.5000
```

Output
* VASP energy: -136.58 eV per cell

=====

# 2
A relaxed SrIn3O crystal, computed with PBE.

```
data_SrIn3O
_cell_length_a 5.043
_cell_length_b 5.043
_cell_length_c 5.043
_cell_angle_alpha 90.00
_cell_angle_beta 90.00
_cell_angle_gamma 90.00
_symmetry_space_group_name_H-M 'P m -3 m'
_symmetry_Int_Tables_number 221
_symmetry_space_group_name_Hall '-P 4 2 3'
loop_
_atom_site_label
_atom_site_fract_x
_atom_site_fract_y
_atom_site_fract_z
Sr1 0.000 0.000 0.000
In1 0.000 0.500 0.500
O1 0.500 0.500 0.500
```

Output
* energy relative to the elements, uncorrected: -1.99 eV per formula unit
* E above lowest polymorph: 0.00 eV per formula unit
* VASP energy: -16.85 eV per cell

=====

# 3
A relaxed HfSc2Cu4 crystal, computed with PBE.

```
data_HfSc2Cu4
_cell_length_a 4.755
_cell_length_b 4.755
_cell_length_c 11.042
_cell_angle_alpha 90.00
_cell_angle_beta 90.00
_cell_angle_gamma 90.00
_symmetry_space_group_name_H-M 'I 4/m m m'
_symmetry_Int_Tables_number 139
_symmetry_space_group_name_Hall '-I 4 2'
loop_
_atom_site_label
_atom_site_fract_x
_atom_site_fract_y
_atom_site_fract_z
Hf1 0.000 0.000 0.000
Sc1 0.000 0.000 0.280
Cu1 0.000 0.500 0.117
```

Output
* VASP energy: -78.03 eV per cell

=====

# 4
A relaxed FePt6Rh2 crystal, computed with PBE.

```
data_FePt6Rh2
_cell_length_a 7.6630
_cell_length_b 7.6630
_cell_length_c 2.7245
_cell_angle_alpha 90.00
_cell_angle_beta 90.00
_cell_angle_gamma 120.00
_symmetry_space_group_name_H-M 'P -3 1 m'
_symmetry_Int_Tables_number 162
_symmetry_space_group_name_Hall '-P 3 2'
loop_
_atom_site_label
_atom_site_fract_x
_atom_site_fract_y
_atom_site_fract_z
Fe1 0.0000 0.0000 0.0000
Pt1 0.0000 0.3288 0.2188
Rh1 0.3333 0.6667 0.5000
```

Output
* E above lowest polymorph: 1.95 eV per formula unit
* VASP energy: -58.61 eV per cell

=====

# 5
A relaxed Th2UHg crystal, computed with PBE.

```
data_Th2UHg
_cell_length_a 3.2680
_cell_length_b 3.2680
_cell_length_c 36.0195
_cell_angle_alpha 90.00
_cell_angle_beta 90.00
_cell_angle_gamma 120.00
_symmetry_space_group_name_H-M 'R -3 m'
_symmetry_Int_Tables_number 166
_symmetry_space_group_name_Hall '-R 3 2"'
loop_
_atom_site_label
_atom_site_fract_x
_atom_site_fract_y
_atom_site_fract_z
Th1 0.0000 0.0000 0.0890
U1 0.0000 0.0000 0.0000
Hg1 0.0000 0.0000 0.5000
```

Output
* E above lowest polymorph: 1.38 eV per formula unit
* VASP energy: -74.43 eV per cell

=====

# 6
A relaxed Tb2ErPaRu2 crystal, computed with PBE.

```
data_Tb2ErPaRu2
_cell_length_a 6.777
_cell_length_b 13.616
_cell_length_c 6.713
_cell_angle_alpha 90.00
_cell_angle_beta 90.00
_cell_angle_gamma 90.00
_symmetry_space_group_name_H-M 'I b a m'
_symmetry_Int_Tables_number 72
_symmetry_space_group_name_Hall '-I 2 2c'
loop_
_atom_site_label
_atom_site_fract_x
_atom_site_fract_y
_atom_site_fract_z
Tb1 0.212 0.194 0.000
Er1 0.000 0.500 0.250
Pa1 0.000 0.000 0.250
Ru1 0.209 0.103 0.500
```

Output
* VASP energy: -174.79 eV per cell

=====

# 7
A relaxed KCa2 crystal, computed with PBE.

```
data_KCa2
_cell_length_a 4.018
_cell_length_b 21.728
_cell_length_c 6.737
_cell_angle_alpha 90.00
_cell_angle_beta 90.00
_cell_angle_gamma 90.00
_symmetry_space_group_name_H-M 'C m c m'
_symmetry_Int_Tables_number 63
_symmetry_space_group_name_Hall '-C 2c 2'
loop_
_atom_site_label
_atom_site_fract_x
_atom_site_fract_y
_atom_site_fract_z
K1 0.000 0.114 0.250
Ca1 0.000 0.218 0.750
Ca2 0.000 0.444 0.250
```

Output
* VASP energy: -18.28 eV per cell

=====

# 8
A relaxed BaCdTcP crystal, computed with PBE.

```
data_BaCdTcP
_cell_length_a 4.082
_cell_length_b 4.082
_cell_length_c 12.596
_cell_angle_alpha 90.00
_cell_angle_beta 90.00
_cell_angle_gamma 90.00
_symmetry_space_group_name_H-M 'P 4/n m m'
_symmetry_Int_Tables_number 129
loop_
_symmetry_equiv_pos_as_xyz
'x,y,z'
'-x,-y,-z'
'-y+1/2,x,z'
'y+1/2,-x,-z'
'-x+1/2,-y+1/2,z'
'x+1/2,y+1/2,-z'
'y,-x+1/2,z'
'-y,x+1/2,-z'
'x+1/2,-y,-z'
'-x+1/2,y,z'
'-y,-x,-z'
'y,x,z'
'-x,y+1/2,-z'
'x,-y+1/2,z'
'y+1/2,x+1/2,-z'
'-y+1/2,-x+1/2,z'
loop_
_atom_site_label
_atom_site_fract_x
_atom_site_fract_y
_atom_site_fract_z
Ba1 0.250 0.250 0.233
Cd1 0.250 0.750 0.500
Tc1 0.250 0.750 0.000
P1 0.250 0.250 0.901
```

Output
* VASP energy: -41.65 eV per cell

=====

# 9
A relaxed Ag2Bi2Se crystal, computed with PBE.

```
data_Ag2Bi2Se
_cell_length_a 7.417
_cell_length_b 7.417
_cell_length_c 4.575
_cell_angle_alpha 90.00
_cell_angle_beta 90.00
_cell_angle_gamma 90.00
_symmetry_space_group_name_H-M 'P 4/m b m'
_symmetry_Int_Tables_number 127
_symmetry_space_group_name_Hall '-P 4 2ab'
loop_
_atom_site_label
_atom_site_fract_x
_atom_site_fract_y
_atom_site_fract_z
Ag1 0.137 0.363 0.000
Bi1 0.152 0.652 0.500
Se1 0.000 0.000 0.000
```

Output
* energy relative to the elements, uncorrected: 0.75 eV per formula unit
* E above lowest polymorph: 0.15 eV per formula unit
* VASP energy: -32.40 eV per cell

=====

# 10
A relaxed TmPdO crystal, computed with PBE.

```
data_TmPdO
_cell_length_a 3.834
_cell_length_b 3.834
_cell_length_c 6.950
_cell_angle_alpha 90.00
_cell_angle_beta 90.00
_cell_angle_gamma 90.00
_symmetry_space_group_name_H-M 'P 4/n m m'
_symmetry_Int_Tables_number 129
loop_
_symmetry_equiv_pos_as_xyz
'x,y,z'
'-x,-y,-z'
'-y+1/2,x,z'
'y+1/2,-x,-z'
'-x+1/2,-y+1/2,z'
'x+1/2,y+1/2,-z'
'y,-x+1/2,z'
'-y,x+1/2,-z'
'x+1/2,-y,-z'
'-x+1/2,y,z'
'-y,-x,-z'
'y,x,z'
'-x,y+1/2,-z'
'x,-y+1/2,z'
'y+1/2,x+1/2,-z'
'-y+1/2,-x+1/2,z'
loop_
_atom_site_label
_atom_site_fract_x
_atom_site_fract_y
_atom_site_fract_z
Tm1 0.250 0.250 0.154
Pd1 0.250 0.250 0.544
O1 0.250 0.750 0.000
```

Output
* energy relative to the elements, uncorrected: -6.67 eV per formula unit
* VASP energy: -42.59 eV per cell

=====

# 11
A relaxed Ho4AlZn crystal, computed with PBE.

```
data_Ho4AlZn
_cell_length_a 4.944
_cell_length_b 4.944
_cell_length_c 7.116
_cell_angle_alpha 90.00
_cell_angle_beta 90.00
_cell_angle_gamma 90.00
_symmetry_space_group_name_H-M 'P 4/m m m'
_symmetry_Int_Tables_number 123
_symmetry_space_group_name_Hall '-P 4 2'
loop_
_atom_site_label
_atom_site_fract_x
_atom_site_fract_y
_atom_site_fract_z
Ho1 0.000 0.500 0.243
Al1 0.000 0.000 0.500
Zn1 0.500 0.500 0.000
```

Output
* E above lowest polymorph: 1.39 eV per formula unit
* VASP energy: -23.31 eV per cell

=====

# 12
A relaxed DyHo8Mg6 crystal, computed with PBE.

```
data_DyHo8Mg6
_cell_length_a 9.0679
_cell_length_b 9.0679
_cell_length_c 19.2536
_cell_angle_alpha 90.00
_cell_angle_beta 90.00
_cell_angle_gamma 120.00
_symmetry_space_group_name_H-M 'R -3'
_symmetry_Int_Tables_number 148
_symmetry_space_group_name_Hall '-R 3'
loop_
_atom_site_label
_atom_site_fract_x
_atom_site_fract_y
_atom_site_fract_z
Dy1 0.0000 0.0000 0.0000
Ho1 0.0000 0.0000 0.3339
Ho2 0.0004 0.3334 0.4502
Mg1 0.0000 0.3331 0.2851
```

Output
* VASP energy: -143.29 eV per cell

=====

# 13
A relaxed Be3Br crystal, computed with PBE.

```
data_Be3Br
_cell_length_a 7.7754
_cell_length_b 7.7754
_cell_length_c 3.1277
_cell_angle_alpha 90.00
_cell_angle_beta 90.00
_cell_angle_gamma 120.00
_symmetry_space_group_name_H-M 'R -3 m'
_symmetry_Int_Tables_number 166
_symmetry_space_group_name_Hall '-R 3 2"'
loop_
_atom_site_label
_atom_site_fract_x
_atom_site_fract_y
_atom_site_fract_z
Be1 0.0000 0.5000 0.0000
Br1 0.0000 0.0000 0.0000
```

Output
* energy relative to the elements, uncorrected: 3.60 eV per formula unit
* E above lowest polymorph: 2.84 eV per formula unit
* VASP energy: -27.74 eV per cell

=====

# 14
A relaxed NdEr5Mg3 crystal, computed with PBE.

```
data_NdEr5Mg3
_cell_length_a 10.801
_cell_length_b 8.044
_cell_length_c 13.163
_cell_angle_alpha 90.00
_cell_angle_beta 98.23
_cell_angle_gamma 90.00
_symmetry_space_group_name_H-M 'C 1 2/m 1'
_symmetry_Int_Tables_number 12
_symmetry_space_group_name_Hall '-C 2y'
loop_
_atom_site_label
_atom_site_fract_x
_atom_site_fract_y
_atom_site_fract_z
Nd1 0.055 0.000 0.261
Er1 0.000 0.323 0.000
Er2 0.046 0.500 0.246
Er3 0.186 0.225 0.663
Er4 0.230 0.500 0.880
Mg1 0.000 0.000 0.000
Mg2 0.000 0.000 0.500
Mg3 0.139 0.500 0.482
Mg4 0.225 0.000 0.880
```

Output
* VASP energy: -118.91 eV per cell

=====

# 15
A relaxed LaGaNi crystal, computed with PBE.

```
data_LaGaNi
_cell_length_a 6.102
_cell_length_b 6.372
_cell_length_c 7.815
_cell_angle_alpha 90.00
_cell_angle_beta 124.01
_cell_angle_gamma 90.00
_symmetry_space_group_name_H-M 'P 1 21/c 1'
_symmetry_Int_Tables_number 14
_symmetry_space_group_name_Hall '-P 2ybc'
loop_
_atom_site_label
_atom_site_fract_x
_atom_site_fract_y
_atom_site_fract_z
La1 0.216 0.147 0.419
Ga1 0.257 0.633 0.578
Ni1 0.365 0.594 0.324
```

Output
* VASP energy: -62.03 eV per cell

=====

# 16
A relaxed BAsF2 crystal, computed with PBE.

```
data_BAsF2
_cell_length_a 2.8033
_cell_length_b 2.8033
_cell_length_c 30.2025
_cell_angle_alpha 90.00
_cell_angle_beta 90.00
_cell_angle_gamma 120.00
_symmetry_space_group_name_H-M 'R -3 m'
_symmetry_Int_Tables_number 166
_symmetry_space_group_name_Hall '-R 3 2"'
loop_
_atom_site_label
_atom_site_fract_x
_atom_site_fract_y
_atom_site_fract_z
B1 0.0000 0.0000 0.0000
As1 0.0000 0.0000 0.5000
F1 0.0000 0.0000 0.0443
```

Output
* energy relative to the elements, uncorrected: -2.95 eV per formula unit
* E above lowest polymorph: 0.00 eV per formula unit
* VASP energy: -54.06 eV per cell

=====

# 17
A relaxed La2Nd2Os crystal, computed with PBE.

```
data_La2Nd2Os
_cell_length_a 7.737
_cell_length_b 12.466
_cell_length_c 7.498
_cell_angle_alpha 90.00
_cell_angle_beta 114.13
_cell_angle_gamma 90.00
_symmetry_space_group_name_H-M 'C 1 2/m 1'
_symmetry_Int_Tables_number 12
_symmetry_space_group_name_Hall '-C 2y'
loop_
_atom_site_label
_atom_site_fract_x
_atom_site_fract_y
_atom_site_fract_z
La1 0.048 0.225 0.255
Nd1 0.223 0.500 0.890
Nd2 0.248 0.000 0.603
Os1 0.000 0.371 0.500
```

Output
* VASP energy: -123.78 eV per cell

=====

# 18
A relaxed ZnCdIn2Ni crystal, computed with PBE.

```
data_ZnCdIn2Ni
_cell_length_a 4.989
_cell_length_b 4.989
_cell_length_c 4.709
_cell_angle_alpha 90.00
_cell_angle_beta 90.00
_cell_angle_gamma 90.00
_symmetry_space_group_name_H-M 'P 4/m m m'
_symmetry_Int_Tables_number 123
_symmetry_space_group_name_Hall '-P 4 2'
loop_
_atom_site_label
_atom_site_fract_x
_atom_site_fract_y
_atom_site_fract_z
Zn1 0.000 0.000 0.000
Cd1 0.500 0.500 0.000
In1 0.000 0.500 0.500
Ni1 0.000 0.000 0.500
```

Output
* VASP energy: -13.16 eV per cell

=====

# 19
A relaxed Ca2Cu2Pt crystal, computed with PBE.

```
data_Ca2Cu2Pt
_cell_length_a 7.892
_cell_length_b 7.892
_cell_length_c 3.433
_cell_angle_alpha 90.00
_cell_angle_beta 90.00
_cell_angle_gamma 90.00
_symmetry_space_group_name_H-M 'P 4/m b m'
_symmetry_Int_Tables_number 127
_symmetry_space_group_name_Hall '-P 4 2ab'
loop_
_atom_site_label
_atom_site_fract_x
_atom_site_fract_y
_atom_site_fract_z
Ca1 0.182 0.318 0.000
Cu1 0.110 0.610 0.500
Pt1 0.000 0.000 0.000
```

Output
* E above lowest polymorph: 2.37 eV per formula unit
* VASP energy: -36.34 eV per cell

=====

# 20
A relaxed RbBaSr crystal, computed with PBE.

```
data_RbBaSr
_cell_length_a 4.385
_cell_length_b 4.385
_cell_length_c 20.970
_cell_angle_alpha 90.00
_cell_angle_beta 90.00
_cell_angle_gamma 90.00
_symmetry_space_group_name_H-M 'I 4 m m'
_symmetry_Int_Tables_number 107
_symmetry_space_group_name_Hall 'I 4 -2'
loop_
_atom_site_label
_atom_site_fract_x
_atom_site_fract_y
_atom_site_fract_z
Rb1 0.000 0.000 0.000
Ba1 0.000 0.000 0.680
Sr1 0.000 0.000 0.329
```

Output
* E above lowest polymorph: 0.12 eV per formula unit
* VASP energy: -8.57 eV per cell